No. 1
Density functional theory data (PBE) for a relaxed structure of Cs5AuBr2.

The structure in POSCAR format:
```
Cs5AuBr2
1.0
7.3319 0.0000 0.0000
-3.6660 8.4094 0.0000
0.0000 0.0000 17.5291
Br Cs Au
4 10 2
Direct
0.1619 0.3238 0.9414
0.8381 0.6762 0.0586
0.1619 0.3238 0.5586
0.8381 0.6762 0.4414
0.9529 0.9058 0.8817
0.6645 0.3291 0.5759
0.6645 0.3291 0.9241
0.2647 0.5294 0.7500
0.3355 0.6709 0.4241
0.3355 0.6709 0.0759
0.9529 0.9058 0.6183
0.0471 0.0942 0.3817
0.0471 0.0942 0.1183
0.7353 0.4706 0.2500
0.2141 0.4282 0.2500
0.7859 0.5718 0.7500
```

Calculated values
- ΔE_f (raw) (meV/atom) = -930.4

***

No. 2
Density functional theory data (PBE) for a relaxed structure of MgZrFe2.

The structure in POSCAR format:
```
MgZrFe2
1.0
5.1548 0.0092 0.0000
2.3664 4.5795 0.0000
-3.7606 -2.2944 2.6769
Fe Mg Zr
2 1 1
Direct
0.2500 0.7500 0.5000
0.0000 0.0000 0.0000
0.5000 0.5000 0.0000
0.7500 0.2500 0.5000
```

Calculated values
- energy relative to the elements (kJ/mol of formula units) = 67

***

No. 3
Density functional theory data (PBE) for a relaxed structure of CaPa2Se5.

The structure in POSCAR format:
```
CaPa2Se5
1.0
-0.8272 -7.0874 -3.0871
0.6968 -3.1605 7.0691
-6.5559 5.5328 -1.1555
Se Pa Ca
10 4 2
Direct
0.4886 0.2922 0.2808
0.0000 0.0000 0.0000
0.7922 0.9886 0.2808
0.2922 0.7922 0.2808
0.7078 0.2078 0.7192
0.9886 0.4886 0.2808
0.0114 0.5114 0.7192
0.2078 0.0114 0.7192
0.5000 0.5000 0.0000
0.5114 0.7078 0.7192
0.1533 0.3467 0.0000
0.8467 0.6533 0.0000
0.6533 0.1533 0.0000
0.3467 0.8467 0.0000
0.2500 0.2500 0.5000
0.7500 0.7500 0.5000
```

Calculated values
- ΔE_f (raw) (meV/atom) = -1485.2

***

No. 4
Density functional theory data (PBE) for a relaxed structure of CeHoLuAl.

The structure in POSCAR format:
```
CeHoLuAl
1.0
5.2883 0.0000 0.0000
2.6442 4.5798 0.0000
2.6442 1.5266 4.3179
Al Lu Ho Ce
1 1 1 1
Direct
0.7500 0.7500 0.7500
0.2500 0.2500 0.2500
0.0000 0.0000 0.0000
0.5000 0.5000 0.5000
```

Calculated values
- energy relative to the elements (kJ/mol of formula units) = -22

***

No. 5
Density functional theory data (PBE) for a relaxed structure of BiOsI2N.

The structure in POSCAR format:
```
BiOsI2N
1.0
-0.2276 5.2084 -2.3436
2.0348 -2.1176 -4.9038
-3.5073 -0.6766 -1.1631
Os Bi I N
1 1 2 1
Direct
0.0000 0.0000 0.0000
0.5000 0.5000 0.5000
0.5000 0.0000 0.0000
0.0000 0.5000 0.0000
0.0000 0.0000 0.5000
```

Calculated values
- ΔE_f (raw) (meV/atom) = 521.6
- offset from the most stable computed form (meV per atom) = 0.0

***

No. 6
Density functional theory data (PBE) for a relaxed structure of MgAlCl.

The structure in POSCAR format:
```
MgAlCl
1.0
-0.5759 -6.7869 -5.1591
2.1549 -8.0470 -1.9009
-2.5233 6.6770 4.6970
Mg Cl Al
1 1 1
Direct
0.6817 0.6817 0.0000
0.2672 0.2672 0.0000
0.0512 0.0512 0.0000
```

Calculated values
- ΔE_f (raw) (meV/atom) = -419.1
- offset from the most stable computed form (meV per atom) = 97.3

***

No. 7
Density functional theory data (PBE) for a relaxed structure of K3Y3VS8.

The structure in POSCAR format:
```
K3Y3VS8
1.0
-0.5285 -6.4601 -4.3762
-3.4996 0.2857 6.9887
-3.7179 4.6595 -6.4291
K Y S V
3 3 8 1
Direct
0.0000 0.5000 0.0000
0.5000 0.5000 0.0000
0.0000 0.0000 0.0000
0.5000 0.5000 0.5000
0.0000 0.5000 0.5000
0.5000 0.0000 0.5000
0.2128 0.9734 0.6861
0.7872 0.0266 0.3139
0.2654 0.5307 0.2962
0.2128 0.4256 0.6862
0.7606 0.9734 0.6861
0.7346 0.4693 0.7038
0.7872 0.5744 0.3138
0.2394 0.0266 0.3139
0.0000 0.0000 0.5000
```

Calculated values
- ΔE_f (raw) (meV/atom) = -1608.2

***

No. 8
Density functional theory data (PBE) for a relaxed structure of KAg2Os.

The structure in POSCAR format:
```
KAg2Os
1.0
-3.4054 -1.0216 -3.8584
1.3877 -2.2271 -0.6351
-3.0596 -2.8974 3.4675
Ag K Os
2 1 1
Direct
0.5000 0.1250 0.3045
0.0000 0.1252 0.9215
0.0000 0.6243 0.4341
0.5000 0.6254 0.8400
```

Calculated values
- energy relative to the elements (kJ/mol of formula units) = 301
- offset from the most stable computed form (meV per atom) = 51.0

***

Looking at VASP energy for the records above, in order, we have -2.29, -6.59, -6.29, -4.75, -4.79, -2.81, -5.93, -3.73 eV per atom.